Entry 1:
The following is a PBE-GGA calculation of a geometry-optimized K3B2O4 structure, from Alexandria.

Values from the calculation:
formation energy without anion corrections	-1856	meV/atom
space-group type	Imma, No. 74
DOS(E_F)	0.15	states/eV/atom
calculated volume	356	Å³/cell
crystal system	orthorhombic
electronic total energy	-5.91	eV/atom

Lattice parameters (Å, degrees): 11.396 11.396 11.396 155.18 43.47 144.90
Fractional coordinates of all 18 atoms:
K 0.140 0.053 0.087
K 0.242 0.492 0.750
K 0.466 0.053 0.413
K 0.534 0.947 0.587
K 0.758 0.508 0.250
K 0.860 0.947 0.913
B 0.122 0.641 0.481
B 0.340 0.359 0.981
B 0.660 0.641 0.019
B 0.878 0.359 0.519
O 0.112 0.564 0.548
O 0.212 0.000 0.712
O 0.212 0.500 0.212
O 0.484 0.436 0.048
O 0.516 0.564 0.952
O 0.788 0.000 0.288
O 0.788 0.500 0.788
O 0.888 0.436 0.452

---

Entry 2:
The following is a PBE-GGA calculation of a geometry-optimized LaPr2Ge structure, from Alexandria.

Values from the calculation:
space-group type	R-3m, No. 166
DOS(E_F)	1.66	states/eV/atom
formation energy	-0.08	eV/atom
calculated volume	140	Å³/cell
crystal system	trigonal
electronic total energy	-4.85	eV/atom

Lattice parameters (Å, degrees): 11.377 11.377 11.377 19.24 19.24 19.24
Fractional coordinates of all 4 atoms:
La 0.000 0.000 0.000
Pr 0.107 0.107 0.107
Pr 0.893 0.893 0.893
Ge 0.500 0.500 0.500

---

Q: Number 2 is which compound?
A: LaPr2Ge